# 1
This record from the Alexandria database describes a relaxed structure of YSbW. The functional is PBE.

The space group is F-43m (No. 216) and the conventional cell measures 6.936, 6.936 and 6.936 Å, with angles of 90.00, 90.00 and 90.00 degrees. Symmetry generates all atoms from Y at (0.000, 0.000, 0.000), Sb at (0.250, 0.250, 0.750) and W at (0.250, 0.250, 0.250).

The calculation puts the total magnetization at 2.7 μB/f.u. The volume is 334 Å³ per cell. The calculation puts the excess energy over the best structure of this formula in the dataset at 1068 meV per atom. The calculation puts the energy relative to the elements, uncorrected at 1141 meV/atom. The mass density is 7.85 Mg/m³.

---

# 2
This record from the Alexandria database describes a relaxed structure of YSb2W. The functional is PBE.

The space group is R-3m (No. 166, hexagonal axes) and the conventional cell measures 3.6165, 3.6165 and 25.4696 Å, with angles of 90.00, 90.00 and 120.00 degrees. Symmetry generates all atoms from Y at (0.0000, 0.0000, 0.0000), Sb at (0.0000, 0.0000, 0.2382) and W at (0.0000, 0.0000, 0.5000).

The calculation puts the total magnetization at 0.0 μB/f.u. The volume is 288 Å³ per cell. The calculation puts the excess energy over the best structure of this formula in the dataset at 191 meV per atom. The calculation puts the energy relative to the elements, uncorrected at 136 meV/atom. The mass density is 8.91 Mg/m³.

---

# 3
This record from the Alexandria database describes a relaxed structure of YSb2W. The functional is PBE.

The space group is Immm (No. 71) and the conventional cell measures 3.436, 5.760 and 9.724 Å, with angles of 90.00, 90.00 and 90.00 degrees. Symmetry generates all atoms from Y at (0.000, 0.000, 0.000), Sb at (0.000, 0.500, 0.217) and W at (0.000, 0.000, 0.500).

The calculation puts the total magnetization at 0.0 μB/f.u. The volume is 192 Å³ per cell. The calculation puts the excess energy over the best structure of this formula in the dataset at 178 meV per atom. The calculation puts the energy relative to the elements, uncorrected at 123 meV/atom. The mass density is 8.91 Mg/m³.

---

# 4
This record from the Alexandria database describes a relaxed structure of YSb3W. The functional is PBE.

The space group is Pm-3m (No. 221) and the conventional cell measures 5.286, 5.286 and 5.286 Å, with angles of 90.00, 90.00 and 90.00 degrees. Symmetry generates all atoms from Y at (0.000, 0.000, 0.000), Sb at (0.000, 0.500, 0.500) and W at (0.500, 0.500, 0.500).

The calculation puts the total magnetization at 0.0 μB/f.u. The volume is 148 Å³ per cell. The calculation puts the excess energy over the best structure of this formula in the dataset at 0 meV per atom. The calculation puts the energy relative to the elements, uncorrected at 453 meV/atom. The mass density is 7.17 Mg/m³.

---

# 5
This record from the Alexandria database describes a relaxed structure of YSb2W. The functional is PBE.

The space group is P4mm (No. 99) and the conventional cell measures 3.658, 3.658 and 6.870 Å, with angles of 90.00, 90.00 and 90.00 degrees. Symmetry generates all atoms from Y at (0.000, 0.000, 0.000), Sb at (0.000, 0.000, 0.546), Sb at (0.500, 0.500, 0.257) and W at (0.500, 0.500, 0.703).

The calculation puts the total magnetization at 0.0 μB/f.u. The volume is 92 Å³ per cell. The calculation puts the excess energy over the best structure of this formula in the dataset at 91 meV per atom. The calculation puts the energy relative to the elements, uncorrected at 36 meV/atom. The mass density is 9.33 Mg/m³.

---

# 6
This record from the Alexandria database describes a relaxed structure of YSb2W. The functional is PBE.

The space group is Cmm2 (No. 35) and the conventional cell measures 3.880, 4.996 and 10.654 Å, with angles of 90.00, 90.00 and 90.00 degrees. Symmetry generates all atoms from Y at (0.000, 0.000, 0.000), Sb at (0.000, 0.000, 0.404), Sb at (0.000, 0.500, 0.762) and W at (0.000, 0.500, 0.216).

The calculation puts the total magnetization at 0.0 μB/f.u. The volume is 206 Å³ per cell. The calculation puts the excess energy over the best structure of this formula in the dataset at 253 meV per atom. The calculation puts the energy relative to the elements, uncorrected at 198 meV/atom. The mass density is 8.30 Mg/m³.

---

# 7
This record from the Alexandria database describes a relaxed structure of YSb2W. The functional is PBE.

The space group is R3m (No. 160, hexagonal axes) and the conventional cell measures 3.4471, 3.4471 and 28.4893 Å, with angles of 90.00, 90.00 and 120.00 degrees. Symmetry generates all atoms from Y at (0.0000, 0.0000, 0.0000), Sb at (0.0000, 0.0000, 0.5197), Sb at (0.0000, 0.0000, 0.7574) and W at (0.0000, 0.0000, 0.2526).

The calculation puts the total magnetization at 0.0 μB/f.u. The volume is 293 Å³ per cell. The calculation puts the excess energy over the best structure of this formula in the dataset at 314 meV per atom. The calculation puts the energy relative to the elements, uncorrected at 259 meV/atom. The mass density is 8.77 Mg/m³.

---

# 8
This record from the Alexandria database describes a relaxed structure of YSbW. The functional is PBE.

The space group is Fmm2 (No. 42) and the conventional cell measures 3.862, 5.174 and 13.507 Å, with angles of 90.00, 90.00 and 90.00 degrees. Symmetry generates all atoms from Y at (0.000, 0.000, 0.000), Sb at (0.000, 0.000, 0.311) and W at (0.000, 0.000, 0.666).

The calculation puts the total magnetization at 0.0 μB/f.u. The volume is 270 Å³ per cell. The calculation puts the excess energy over the best structure of this formula in the dataset at 260 meV per atom. The calculation puts the energy relative to the elements, uncorrected at 333 meV/atom. The mass density is 9.71 Mg/m³.

---

# 9
This record from the Alexandria database describes a relaxed structure of YSbW. The functional is PBE.

The space group is P-6m2 (No. 187) and the conventional cell measures 4.8754, 4.8754 and 3.2439 Å, with angles of 90.00, 90.00 and 120.00 degrees. Symmetry generates all atoms from Y at (0.0000, 0.0000, 0.0000), Sb at (0.6667, 0.3333, 0.5000) and W at (0.3333, 0.6667, 0.5000).

The calculation puts the total magnetization at 0.0 μB/f.u. The volume is 67 Å³ per cell. The calculation puts the excess energy over the best structure of this formula in the dataset at 160 meV per atom. The calculation puts the energy relative to the elements, uncorrected at 234 meV/atom. The mass density is 9.81 Mg/m³.

---

# 10
This record from the Alexandria database describes a relaxed structure of YSb2W. The functional is PBE.

The space group is P4/mmm (No. 123) and the conventional cell measures 3.423, 3.423 and 7.554 Å, with angles of 90.00, 90.00 and 90.00 degrees. Symmetry generates all atoms from Y at (0.000, 0.000, 0.000), Sb at (0.500, 0.500, 0.288) and W at (0.000, 0.000, 0.500).

The calculation puts the total magnetization at 0.0 μB/f.u. The volume is 89 Å³ per cell. The calculation puts the excess energy over the best structure of this formula in the dataset at 0 meV per atom. The calculation puts the energy relative to the elements, uncorrected at -55 meV/atom. The mass density is 9.68 Mg/m³.

---

# 11
This record from the Alexandria database describes a relaxed structure of YSb2W. The functional is PBE.

The space group is Pm (No. 6) and the conventional cell measures 3.622, 5.101 and 5.513 Å, with angles of 90.00, 109.03 and 90.00 degrees. Symmetry generates all atoms from Y at (0.000, 0.000, 0.000), Sb at (0.279, 0.000, 0.552), Sb at (0.634, 0.500, 0.265) and W at (0.356, 0.500, 0.710).

The calculation puts the total magnetization at 0.0 μB/f.u. The volume is 96 Å³ per cell. The calculation puts the excess energy over the best structure of this formula in the dataset at 161 meV per atom. The calculation puts the energy relative to the elements, uncorrected at 107 meV/atom. The mass density is 8.90 Mg/m³.

---

# 12
This record from the Alexandria database describes a relaxed structure of YSb2W. The functional is PBE.

The space group is I-42d (No. 122) and the conventional cell measures 5.866, 5.866 and 15.355 Å, with angles of 90.00, 90.00 and 90.00 degrees. Symmetry generates all atoms from Y at (0.000, 0.000, 0.000), Sb at (0.182, 0.250, 0.625) and W at (0.000, 0.000, 0.500).

The calculation puts the total magnetization at 1.1 μB/f.u. The volume is 528 Å³ per cell. The calculation puts the excess energy over the best structure of this formula in the dataset at 587 meV per atom. The calculation puts the energy relative to the elements, uncorrected at 533 meV/atom. The mass density is 6.49 Mg/m³.

---

# 13
This record from the Alexandria database describes a relaxed structure of YSb4W. The functional is PBE.

The space group is F-43m (No. 216) and the conventional cell measures 8.612, 8.612 and 8.612 Å, with angles of 90.00, 90.00 and 90.00 degrees. Symmetry generates all atoms from Y at (0.000, 0.000, 0.000), Sb at (0.125, 0.125, 0.625) and W at (0.250, 0.250, 0.250).

The calculation puts the total magnetization at 2.6 μB/f.u. The volume is 639 Å³ per cell. The calculation puts the energy relative to the elements, uncorrected at 792 meV/atom. The mass density is 7.90 Mg/m³.

---

# 14
This record from the Alexandria database describes a relaxed structure of ZnSb2W. The functional is PBE.

The space group is C2/m (No. 12) and the conventional cell measures 6.074, 7.482 and 3.479 Å, with angles of 90.00, 90.13 and 90.00 degrees. Symmetry generates all atoms from Zn at (0.000, 0.000, 0.000), Sb at (0.250, 0.250, 0.500) and W at (0.000, 0.500, 0.000).

The calculation puts the total magnetization at 0.0 μB/f.u. The volume is 158 Å³ per cell. The calculation puts the energy relative to the elements, uncorrected at 626 meV/atom. The mass density is 10.35 Mg/m³.

---

# 15
This record from the Alexandria database describes a relaxed structure of ZnSb2W. The functional is PBE.

The space group is Amm2 (No. 38) and the conventional cell measures 4.515, 3.551 and 10.052 Å, with angles of 90.00, 90.00 and 90.00 degrees. Symmetry generates all atoms from Zn at (0.000, 0.000, 0.000), Sb at (0.000, 0.000, 0.732), Sb at (0.500, 0.000, 0.440) and W at (0.500, 0.000, 0.153).

The calculation puts the total magnetization at 0.0 μB/f.u. The volume is 161 Å³ per cell. The calculation puts the energy relative to the elements, uncorrected at 335 meV/atom. The mass density is 10.15 Mg/m³.